# 1
Compound: TePtF2
Source: Alexandria
Functional: PBE
Structure: relaxed

Output
Density, kg/m3: 9044
Uncorrected energy, eV/atom: -3.856
M_tot, μB/cell: 0.0
Uncorrected formation energy, eV per atom: -0.624
Crystal system: trigonal
Distance to the lowest polymorph of the same formula, meV/atom: 0

Geometry as POSCAR:
```
TePtF2
1.0
3.0099 0.0000 0.0000
-1.5049 2.6066 0.0000
0.0000 0.0000 25.3227
Te Pt F
3 3 6
direct
0.0000 0.0000 0.0000
0.3333 0.6667 0.6667
0.6667 0.3333 0.3333
0.0000 0.0000 0.5000
0.3333 0.6667 0.1667
0.6667 0.3333 0.8333
0.0000 0.0000 0.4214
0.0000 0.0000 0.5786
0.3333 0.6667 0.0881
0.3333 0.6667 0.2453
0.6667 0.3333 0.7547
0.6667 0.3333 0.9119
```



# 2
Compound: TePtF2
Source: Alexandria
Functional: PBE
Structure: relaxed

Output
Density, kg/m3: 8103
Uncorrected energy, eV/atom: -3.689
M_tot, μB/cell: 2.0
Uncorrected formation energy, eV per atom: -0.458
Crystal system: trigonal
Distance to the lowest polymorph of the same formula, meV/atom: 167

Geometry as POSCAR:
```
TePtF2
1.0
3.0137 0.0000 0.0000
-1.5069 2.6099 0.0000
0.0000 0.0000 28.1907
Te Pt F
3 3 6
direct
0.0000 0.0000 0.0000
0.3333 0.6667 0.6667
0.6667 0.3333 0.3333
0.0000 0.0000 0.5000
0.3333 0.6667 0.1667
0.6667 0.3333 0.8333
0.0000 0.0000 0.0714
0.0000 0.0000 0.9286
0.3333 0.6667 0.5953
0.3333 0.6667 0.7381
0.6667 0.3333 0.2619
0.6667 0.3333 0.4047
```



# 3
Compound: TePtF
Source: Alexandria
Functional: PBE
Structure: relaxed

Output
Density, kg/m3: 9419
Uncorrected energy, eV/atom: -4.569
M_tot, μB/cell: 0.0
Uncorrected formation energy, eV per atom: -0.885
Crystal system: monoclinic
Distance to the lowest polymorph of the same formula, meV/atom: 8

Geometry as POSCAR:
```
TePtF
1.0
13.3803 0.0000 0.0000
0.0000 3.9234 0.0000
-1.0892 0.0000 4.5896
Te Pt F
4 4 4
direct
0.1386 0.0000 0.4227
0.3614 0.5000 0.5773
0.6386 0.5000 0.4227
0.8614 0.0000 0.5773
0.2064 0.5000 0.1423
0.2936 0.0000 0.8577
0.7064 0.0000 0.1423
0.7936 0.5000 0.8577
0.0781 0.5000 0.7878
0.4219 0.0000 0.2122
0.5781 0.0000 0.7878
0.9219 0.5000 0.2122
```



# 4
Compound: TePt2F4
Source: Alexandria
Functional: PBE
Structure: relaxed

Output
Density, kg/m3: 7433
Uncorrected energy, eV/atom: -3.578
M_tot, μB/cell: 4.3
Uncorrected formation energy, eV per atom: -0.334
Crystal system: tetragonal

Geometry as POSCAR:
```
TePt2F4
1.0
4.9197 0.0000 0.0000
0.0000 4.9197 0.0000
0.0000 0.0000 10.9605
Te Pt F
2 4 8
direct
0.0000 0.0000 0.0000
0.5000 0.5000 0.5000
0.0000 0.0000 0.3911
0.0000 0.0000 0.6089
0.5000 0.5000 0.1089
0.5000 0.5000 0.8911
0.0000 0.0000 0.1921
0.0000 0.0000 0.8079
0.0000 0.5000 0.0000
0.0000 0.5000 0.5000
0.5000 0.0000 0.0000
0.5000 0.0000 0.5000
0.5000 0.5000 0.3079
0.5000 0.5000 0.6921
```



# 5
Compound: TePtF3
Source: Alexandria
Functional: PBE
Structure: relaxed

Output
Density, kg/m3: 7145
Uncorrected energy, eV/atom: -3.300
M_tot, μB/cell: 0.0
Uncorrected formation energy, eV per atom: -0.341
Crystal system: cubic
Distance to the lowest polymorph of the same formula, meV/atom: 122

Geometry as POSCAR:
```
TePtF3
1.0
4.4521 0.0000 0.0000
0.0000 4.4521 0.0000
0.0000 0.0000 4.4521
Te Pt F
1 1 3
direct
0.0000 0.0000 0.0000
0.5000 0.5000 0.5000
0.0000 0.0000 0.5000
0.0000 0.5000 0.0000
0.5000 0.0000 0.0000
```



# 6
Compound: TePtF2
Source: Alexandria
Functional: PBE
Structure: relaxed

Output
Density, kg/m3: 6968
Uncorrected energy, eV/atom: -3.819
M_tot, μB/cell: 0.0
Uncorrected formation energy, eV per atom: -0.588
Crystal system: tetragonal
Distance to the lowest polymorph of the same formula, meV/atom: 36

Geometry as POSCAR:
```
TePtF2
1.0
8.3199 0.0000 0.0000
0.0000 8.3199 0.0000
0.0000 0.0000 4.9667
Te Pt F
4 4 8
direct
0.0000 0.0000 0.0000
0.0000 0.5000 0.2500
0.5000 0.0000 0.7500
0.5000 0.5000 0.5000
0.0000 0.0000 0.5000
0.0000 0.5000 0.7500
0.5000 0.0000 0.2500
0.5000 0.5000 0.0000
0.0824 0.7500 0.1250
0.2500 0.0824 0.8750
0.2500 0.4176 0.3750
0.4176 0.7500 0.6250
0.5824 0.2500 0.6250
0.7500 0.5824 0.3750
0.7500 0.9176 0.8750
0.9176 0.2500 0.1250
```



# 7
Compound: TePtF3
Source: Alexandria
Functional: PBE
Structure: relaxed

Output
Density, kg/m3: 7377
Uncorrected energy, eV/atom: -3.422
M_tot, μB/cell: 2.7
Uncorrected formation energy, eV per atom: -0.463
Crystal system: cubic
Distance to the lowest polymorph of the same formula, meV/atom: 0

Geometry as POSCAR:
```
TePtF3
1.0
4.4048 0.0000 0.0000
0.0000 4.4048 0.0000
0.0000 0.0000 4.4048
Te Pt F
1 1 3
direct
0.0000 0.0000 0.0000
0.5000 0.5000 0.5000
0.0000 0.5000 0.5000
0.5000 0.0000 0.5000
0.5000 0.5000 0.0000
```



# 8
Compound: TePt2F
Source: Alexandria
Functional: PBE
Structure: relaxed

Output
Density, kg/m3: 13704
Uncorrected energy, eV/atom: -4.502
M_tot, μB/cell: 0.0
Uncorrected formation energy, eV per atom: -0.228
Crystal system: cubic
Distance to the lowest polymorph of the same formula, meV/atom: 0

Geometry as POSCAR:
```
TePt2F
1.0
6.3838 0.0000 0.0000
0.0000 6.3838 0.0000
0.0000 0.0000 6.3838
Te Pt F
4 8 4
direct
0.0000 0.0000 0.0000
0.0000 0.5000 0.5000
0.5000 0.0000 0.5000
0.5000 0.5000 0.0000
0.2500 0.2500 0.2500
0.2500 0.2500 0.7500
0.2500 0.7500 0.2500
0.2500 0.7500 0.7500
0.7500 0.2500 0.2500
0.7500 0.2500 0.7500
0.7500 0.7500 0.2500
0.7500 0.7500 0.7500
0.0000 0.0000 0.5000
0.0000 0.5000 0.0000
0.5000 0.0000 0.0000
0.5000 0.5000 0.5000
```



> Among the records above, which one has the lowest density?

number 6